(1)
Entry from OQMD: NbSbNO after structural relaxation (GGA-PBE).

Values from the calculation:
SG: Pmc2_1 (26)
Energy: -30.6 eV/f.u.

Cell lengths 3.612, 5.925, 6.843 Å; angles 90.00, 90.00, 90.00 degrees
Fractional coordinates of all 8 atoms:
1 Nb 0.500 0.025 0.161
2 N 0.000 0.897 0.217
3 N 0.000 0.397 0.783
4 Nb 0.500 0.525 0.839
5 O 0.500 0.332 0.083
6 O 0.500 0.832 0.917
7 Sb 0.000 0.000 0.525
8 Sb 0.000 0.500 0.475

***

(2)
Entry from OQMD: NbSbNO after structural relaxation (GGA-PBE).

Values from the calculation:
SG: P4/nmm (129)
Energy: -29.7 eV/f.u.

Cell lengths 4.233, 4.233, 7.935 Å; angles 90.00, 90.00, 90.00 degrees
Fractional coordinates of all 8 atoms:
1 Sb 0.750 0.250 0.500
2 Sb 0.250 0.750 0.500
3 O 0.250 0.750 0.000
4 Nb 0.250 0.250 0.955
5 N 0.250 0.250 0.731
6 O 0.750 0.250 0.000
7 Nb 0.750 0.750 0.045
8 N 0.750 0.750 0.269

***

(3)
Entry from OQMD: ScNbNO after structural relaxation (GGA-PBE).

Values from the calculation:
SG: Pbcm (57)
Energy: -37.2 eV/f.u.

Cell lengths 7.454, 6.342, 4.362 Å; angles 90.00, 90.00, 90.00 degrees
Fractional coordinates of all 16 atoms:
1 N 0.855 0.592 0.250
2 O 0.607 0.076 0.250
3 O 0.393 0.576 0.250
4 Sc 0.637 0.409 0.250
5 Nb 0.903 0.919 0.250
6 N 0.855 0.908 0.750
7 O 0.393 0.924 0.750
8 Sc 0.363 0.909 0.250
9 Nb 0.097 0.081 0.750
10 O 0.607 0.424 0.750
11 Nb 0.097 0.419 0.250
12 N 0.145 0.092 0.250
13 Nb 0.903 0.581 0.750
14 Sc 0.637 0.091 0.750
15 N 0.145 0.408 0.750
16 Sc 0.363 0.591 0.750

***

(4)
Entry from OQMD: ScNbNO after structural relaxation (GGA-PBE).

Values from the calculation:
SG: Pmc2_1 (26)
Energy: -36.4 eV/f.u.

Cell lengths 3.317, 5.559, 5.827 Å; angles 90.00, 90.00, 90.00 degrees
Fractional coordinates of all 8 atoms:
1 N 0.000 0.426 0.687
2 Sc 0.000 0.033 0.667
3 Sc 0.000 0.533 0.333
4 O 0.500 0.837 0.758
5 O 0.500 0.337 0.242
6 Nb 0.500 0.959 0.111
7 Nb 0.500 0.459 0.889
8 N 0.000 0.926 0.313

***

(5)
Entry from OQMD: ScNbNO after structural relaxation (GGA-PBE).

Values from the calculation:
SG: P4/nmm (129)
Energy: -36.4 eV/f.u.

Cell lengths 3.919, 3.919, 7.293 Å; angles 90.00, 90.00, 90.00 degrees
Fractional coordinates of all 8 atoms:
1 N 0.000 0.500 0.391
2 N 0.500 0.000 0.609
3 Sc 0.000 0.500 0.888
4 O 0.000 0.000 0.000
5 Sc 0.500 0.000 0.112
6 O 0.500 0.500 0.000
7 Nb 0.000 0.000 0.500
8 Nb 0.500 0.500 0.500

***

(6)
Entry from OQMD: ScNbNO after structural relaxation (GGA-PBE).

Values from the calculation:
SG: P4/nmm (129)
Energy: -33.1 eV/f.u.

Cell lengths 3.506, 3.506, 7.553 Å; angles 90.00, 90.00, 90.00 degrees
Site moments in Bohr magnetons follow the coordinates.
Fractional coordinates of all 8 atoms:
1 O 0.500 0.500 0.000  0.00
2 Sc 0.000 0.000 0.500  0.17
3 N 0.500 0.000 0.695  -0.01
4 O 0.000 0.000 0.000  0.00
5 N 0.000 0.500 0.305  -0.01
6 Nb 0.000 0.500 0.839  0.04
7 Nb 0.500 0.000 0.161  0.04
8 Sc 0.500 0.500 0.500  0.17

***

(7)
Entry from OQMD: ScNbNO after structural relaxation (GGA-PBE).

Values from the calculation:
SG: Pmc2_1 (26)
Energy: -36.1 eV/f.u.

Cell lengths 3.211, 5.511, 6.200 Å; angles 90.00, 90.00, 90.00 degrees
Fractional coordinates of all 8 atoms:
1 N 0.000 0.849 0.312
2 Sc 0.500 0.524 0.829
3 O 0.500 0.897 0.861
4 Nb 0.000 0.984 0.614
5 Nb 0.000 0.484 0.386
6 Sc 0.500 0.024 0.171
7 O 0.500 0.397 0.139
8 N 0.000 0.349 0.688

***

(8)
Entry from OQMD: NbSiNO after structural relaxation (GGA-PBE).

Values from the calculation:
SG: Pmc2_1 (26)
Energy: -33.0 eV/f.u.

Cell lengths 2.927, 4.985, 6.211 Å; angles 90.00, 90.00, 90.00 degrees
Fractional coordinates of all 8 atoms:
1 O 0.500 0.859 0.886
2 O 0.500 0.359 0.114
3 Nb 0.000 0.492 0.417
4 Si 0.500 0.018 0.148
5 Nb 0.000 0.992 0.583
6 Si 0.500 0.518 0.852
7 N 0.000 0.885 0.236
8 N 0.000 0.385 0.764

***

(9)
Entry from OQMD: NbSiNO after structural relaxation (GGA-PBE).

Values from the calculation:
SG: Pmc2_1 (26)
Energy: -32.9 eV/f.u.

Cell lengths 2.968, 4.995, 6.058 Å; angles 90.00, 90.00, 90.00 degrees
Fractional coordinates of all 8 atoms:
1 Si 0.000 0.030 0.629
2 Nb 0.500 0.953 0.093
3 Si 0.000 0.530 0.371
4 O 0.500 0.895 0.723
5 N 0.000 0.375 0.630
6 N 0.000 0.875 0.370
7 O 0.500 0.395 0.277
8 Nb 0.500 0.453 0.907

***

(10)
Entry from OQMD: NbSiNO after structural relaxation (GGA-PBE).

Values from the calculation:
SG: P4/nmm (129)
Energy: -30.5 eV/f.u.

Cell lengths 3.243, 3.243, 8.307 Å; angles 90.00, 90.00, 90.00 degrees
Fractional coordinates of all 8 atoms:
1 N 0.500 0.000 0.746
2 Nb 0.500 0.000 0.166
3 Si 0.000 0.000 0.500
4 N 0.000 0.500 0.254
5 Si 0.500 0.500 0.500
6 O 0.500 0.500 0.000
7 Nb 0.000 0.500 0.834
8 O 0.000 0.000 0.000

***

(11)
Entry from OQMD: NbSiNO after structural relaxation (GGA-PBE).

Values from the calculation:
SG: P4/nmm (129)
Energy: -30.9 eV/f.u.

Cell lengths 3.931, 3.931, 6.136 Å; angles 90.00, 90.00, 90.00 degrees
Fractional coordinates of all 8 atoms:
1 O 0.750 0.250 0.000
2 Nb 0.750 0.250 0.500
3 O 0.250 0.750 0.000
4 Si 0.750 0.750 0.892
5 N 0.250 0.250 0.625
6 N 0.750 0.750 0.375
7 Si 0.250 0.250 0.108
8 Nb 0.250 0.750 0.500

***

(12)
Entry from OQMD: NbSiNO2 after structural relaxation (GGA-PBE).

Values from the calculation:
SG: Cm (8)
Energy: -40.5 eV/f.u.

Cell lengths 3.944, 3.944, 3.809 Å; angles 96.32, 96.32, 99.12 degrees
Fractional coordinates of all 5 atoms:
1 O 0.696 0.100 0.669
2 Si 0.000 0.000 0.000
3 N 0.673 0.673 0.097
4 O 0.100 0.696 0.669
5 Nb 0.528 0.528 0.532